(1)
Here is a relaxed LuPuMgIr crystal from Alexandria. Energies are from GGA-PBE.

Cell: 4.961 4.961 4.961 Å, 60.00 60.00 60.00°
Site moments in Bohr magnetons follow the coordinates.
Fractional coordinates of all 4 atoms:
Ir1 0.750 0.750 0.750  0.24
Pu1 0.500 0.500 0.500  -5.15
Mg1 0.250 0.250 0.250  0.01
Lu1 0.000 0.000 0.000  -0.04

Calculated values
Calculated formation energy (kJ/mol of atoms): -28.44
Volume (Å³/atom): 21.58
SG: F-43m, No. 216
Mass density (g/cm³): 12.223
Magnetization (μB/f.u.): 5.17
Crystal system: cubic


(2)
Here is a relaxed Mg2SbPd4 crystal from Alexandria. Energies are from GGA-PBE.

Cell: 5.490 5.490 5.490 Å, 101.95 113.36 113.36°
Fractional coordinates of all 7 atoms:
Mg1 0.500 0.000 0.500
Mg2 0.500 0.500 0.000
Pd1 0.000 0.500 0.000
Pd2 0.500 0.000 0.000
Pd3 0.000 0.000 0.500
Pd4 0.500 0.500 0.500
Sb1 0.000 0.000 0.000

Calculated values
Volume (Å³/atom): 17.97
SG: I4/mmm, No. 139
Mass density (g/cm³): 7.870
Formation energy (no corrections) (eV per atom): -0.512
Magnetization (μB/f.u.): 0.00
Crystal system: tetragonal


(3)
Here is a relaxed FePbBr2 crystal from Alexandria. Energies are from GGA-PBE.

Cell: 6.732 6.732 6.732 Å, 143.12 143.12 53.14°
Site moments in Bohr magnetons follow the coordinates.
Fractional coordinates of all 4 atoms:
Pb1 0.750 0.250 0.500  -0.12
Br1 0.250 0.750 0.500  0.00
Br2 0.000 0.000 0.000  0.00
Fe1 0.500 0.500 0.000  3.16

Calculated values
Volume (Å³/atom): 27.30
SG: I-4m2, No. 119
Mass density (g/cm³): 6.431
Formation energy (no corrections) (eV per atom): 0.336
Magnetization (μB/f.u.): 3.07
Crystal system: tetragonal


(4)
Here is a relaxed Sr2Ga4PtRh3 crystal from Alexandria. Energies are from GGA-PBE.

Cell: 4.336 4.336 10.402 Å, 90.00 90.00 90.00°
Fractional coordinates of all 10 atoms:
Rh1 0.000 0.000 0.500
Rh2 0.500 0.000 0.874
Rh3 0.000 0.500 0.126
Ga1 0.000 0.500 0.372
Ga2 0.500 0.500 0.000
Ga3 0.500 0.000 0.628
Ga4 0.000 0.000 0.000
Sr1 0.000 0.500 0.746
Sr2 0.500 0.000 0.254
Pt1 0.500 0.500 0.500

Calculated values
Calculated formation energy (kJ/mol of atoms): -69.60
Volume (Å³/atom): 19.56
SG: P-4m2, No. 115
Mass density (g/cm³): 8.133
Magnetization (μB/f.u.): 0.00
Crystal system: tetragonal